[1]
A relaxed Ac8Ge3I3N crystal. Source: Alexandria via LeMat-Bulk, functional PBE.

Unit cell a=9.7288 b=9.7288 c=9.7288 alpha=54.56 beta=54.56 gamma=54.56
Last column: nearest neighbours and their distance in Å.
Atoms (fractional coordinates):
Ac (0.2345, 0.2345, 0.2345)  3 Ge 3.07
Ac (0.2618, 0.7131, 0.7131)  1 N 2.79, 2 Ge 3.12
Ac (0.2869, 0.2869, 0.7382)  1 N 2.79, 2 Ge 3.12
Ac (0.2869, 0.7382, 0.2869)  1 N 2.79, 2 Ge 3.12
Ac (0.7131, 0.2618, 0.7131)  1 N 2.79, 2 Ge 3.12
Ac (0.7131, 0.7131, 0.2618)  1 N 2.79, 2 Ge 3.12
Ac (0.7382, 0.2869, 0.2869)  1 N 2.79, 2 Ge 3.12
Ac (0.7655, 0.7655, 0.7655)  3 Ge 3.07
Ge (0.0000, 0.0000, 0.5000)  6 Ac 3.07-3.12
Ge (0.0000, 0.5000, 0.0000)  6 Ac 3.07-3.12
Ge (0.5000, 0.0000, 0.0000)  6 Ac 3.07-3.12
I (0.0000, 0.5000, 0.5000)  6 Ac 3.55-3.56
I (0.5000, 0.0000, 0.5000)  6 Ac 3.55-3.56
I (0.5000, 0.5000, 0.0000)  6 Ac 3.55-3.56
N (0.5000, 0.5000, 0.5000)  6 Ac 2.79

Properties
formation energy (no corrections)	-0.840	eV per atom
symmetry	R-3m (166)
uncorrected energy	-4.82	eV per atom
size of the total moment	1.1	μB/f.u.

[2]
A relaxed AcGeIN2 crystal. Source: Alexandria via LeMat-Bulk, functional PBE.

Unit cell a=7.6427 b=4.3385 c=8.1437 alpha=90.00 beta=114.53 gamma=90.00
Last column: nearest neighbours and their distance in Å.
Atoms (fractional coordinates):
Ac (0.2044, 0.2500, 0.1811)  4 N 2.51-2.66
Ac (0.7956, 0.7500, 0.8189)  4 N 2.51-2.66
Ge (0.3546, 0.7500, 0.9478)  2 N 1.82-1.84
Ge (0.6454, 0.2500, 0.0522)  2 N 1.82-1.84
I (0.2665, 0.7500, 0.5443)  1 Ge 3.07
I (0.7335, 0.2500, 0.4557)  1 Ge 3.07
N (0.1518, 0.7500, 0.0103)  1 Ge 1.82
N (0.3814, 0.2500, 0.9611)  1 Ge 1.84
N (0.6186, 0.7500, 0.0389)  1 Ge 1.84
N (0.8482, 0.2500, 0.9897)  1 Ge 1.82

Properties
formation energy (no corrections)	-0.613	eV per atom
symmetry	P2_1/m (11)
uncorrected energy	-6.00	eV per atom
size of the total moment	0.0	μB/f.u.

[3]
A relaxed Ac4GeI2N crystal. Source: Alexandria via LeMat-Bulk, functional PBE.

Unit cell a=7.4732 b=4.2807 c=8.6809 alpha=90.00 beta=106.77 gamma=90.00
Last column: nearest neighbours and their distance in Å.
Atoms (fractional coordinates):
Ac (0.2037, 0.0000, 0.1816)  2 N 2.83, 1 Ge 3.07
Ac (0.2314, 0.5000, 0.8135)  1 N 2.69
Ac (0.7686, 0.5000, 0.1865)  1 N 2.69
Ac (0.7963, 0.0000, 0.8184)  2 N 2.83, 1 Ge 3.07
Ge (0.5000, 0.0000, 0.0000)  6 Ac 3.06-3.07
I (0.0000, 0.0000, 0.5000)  6 Ac 3.50-3.52
I (0.5000, 0.5000, 0.5000)  6 Ac 3.69-3.82
N (0.0000, 0.5000, 0.0000)  6 Ac 2.69-2.83

Properties
formation energy (no corrections)	-1.005	eV per atom
symmetry	P2/m (10)
uncorrected energy	-5.06	eV per atom
size of the total moment	0.0	μB/f.u.

[4]
A relaxed Ac4NiGeI2 crystal. Source: Alexandria via LeMat-Bulk, functional PBE.

Unit cell a=8.1181 b=4.3855 c=8.6343 alpha=90.00 beta=106.01 gamma=90.00
Last column: nearest neighbours and their distance in Å.
Atoms (fractional coordinates):
Ac (0.2110, 0.0000, 0.1842)  2 Ni 2.96, 1 Ge 3.18
Ac (0.2576, 0.5000, 0.8006)  1 Ni 3.05, 2 Ge 3.13
Ac (0.7424, 0.5000, 0.1994)  1 Ni 3.05, 2 Ge 3.13
Ac (0.7890, 0.0000, 0.8158)  2 Ni 2.96, 1 Ge 3.18
Ni (0.0000, 0.5000, 0.0000)  6 Ac 2.96-3.05
Ge (0.5000, 0.0000, 0.0000)  6 Ac 3.13-3.18
I (0.0000, 0.0000, 0.5000)  6 Ac 3.59-3.60
I (0.5000, 0.5000, 0.5000)  6 Ac 3.66-3.77

Properties
formation energy (no corrections)	-0.811	eV per atom
symmetry	P2/m (10)
uncorrected energy	-4.55	eV per atom
size of the total moment	0.0	μB/f.u.

[5]
A relaxed Ac6NiGe2I3 crystal. Source: Alexandria via LeMat-Bulk, functional PBE.

Unit cell a=7.9575 b=7.9575 c=8.4968 alpha=99.08 beta=99.08 gamma=119.65
Last column: nearest neighbours and their distance in Å.
Atoms (fractional coordinates):
Ac (0.0650, 0.3808, 0.1952)  1 Ni 2.97, 2 Ge 3.15-3.16
Ac (0.2530, 0.2530, 0.7972)  1 Ni 3.04, 2 Ge 3.15
Ac (0.3808, 0.0650, 0.1952)  1 Ni 2.97, 2 Ge 3.15-3.16
Ac (0.6192, 0.9350, 0.8048)  1 Ni 2.97, 2 Ge 3.15-3.16
Ac (0.7470, 0.7470, 0.2028)  1 Ni 3.04, 2 Ge 3.15
Ac (0.9350, 0.6192, 0.8048)  1 Ni 2.97, 2 Ge 3.15-3.16
Ni (0.0000, 0.0000, 0.0000)  6 Ac 2.97-3.04
Ge (0.3341, 0.6659, 0.0000)  6 Ac 3.15-3.16
Ge (0.6659, 0.3341, 0.0000)  6 Ac 3.15-3.16
I (0.1767, 0.8233, 0.5000)  6 Ac 3.59-3.63
I (0.5000, 0.5000, 0.5000)  6 Ac 3.57-3.66
I (0.8233, 0.1767, 0.5000)  6 Ac 3.59-3.63

Properties
formation energy (no corrections)	-0.859	eV per atom
symmetry	C2/m (12)
uncorrected energy	-4.55	eV per atom
size of the total moment	1.0	μB/f.u.

[6]
A relaxed Ac6Ni2GeI3 crystal. Source: Alexandria via LeMat-Bulk, functional PBE.

Unit cell a=7.7639 b=7.7639 c=8.7783 alpha=98.49 beta=98.49 gamma=119.93
Last column: nearest neighbours and their distance in Å.
Atoms (fractional coordinates):
Ac (0.0878, 0.4361, 0.8103)  2 Ni 2.99, 1 Ge 3.14
Ac (0.2149, 0.2149, 0.1889)  2 Ni 2.99, 1 Ge 3.14
Ac (0.4361, 0.0878, 0.8103)  2 Ni 2.99, 1 Ge 3.14
Ac (0.5639, 0.9122, 0.1897)  2 Ni 2.99, 1 Ge 3.14
Ac (0.7851, 0.7851, 0.8111)  2 Ni 2.99, 1 Ge 3.14
Ac (0.9122, 0.5639, 0.1897)  2 Ni 2.99, 1 Ge 3.14
Ni (0.1671, 0.8329, 0.0000)  6 Ac 2.99
Ni (0.8329, 0.1671, 0.0000)  6 Ac 2.99
Ge (0.5000, 0.5000, 0.0000)  6 Ac 3.14
I (0.0000, 0.0000, 0.5000)  6 Ac 3.60-3.71
I (0.3387, 0.6613, 0.5000)  6 Ac 3.63-3.72
I (0.6613, 0.3387, 0.5000)  6 Ac 3.63-3.72

Properties
formation energy (no corrections)	-0.755	eV per atom
symmetry	C2/m (12)
uncorrected energy	-4.55	eV per atom
size of the total moment	0.0	μB/f.u.

[7]
A relaxed Ac8Ge3OsI3 crystal. Source: Alexandria via LeMat-Bulk, functional PBE.

Unit cell a=9.7019 b=9.7019 c=9.7019 alpha=56.69 beta=56.69 gamma=56.69
Last column: nearest neighbours and their distance in Å.
Atoms (fractional coordinates):
Ac (0.2360, 0.2360, 0.2360)  3 Ge 3.15
Ac (0.2486, 0.7228, 0.7228)  1 Os 2.97, 2 Ge 3.15
Ac (0.2772, 0.2772, 0.7514)  1 Os 2.97, 2 Ge 3.15
Ac (0.2772, 0.7514, 0.2772)  1 Os 2.97, 2 Ge 3.15
Ac (0.7228, 0.2486, 0.7228)  1 Os 2.97, 2 Ge 3.15
Ac (0.7228, 0.7228, 0.2486)  1 Os 2.97, 2 Ge 3.15
Ac (0.7514, 0.2772, 0.2772)  1 Os 2.97, 2 Ge 3.15
Ac (0.7640, 0.7640, 0.7640)  3 Ge 3.15
Ge (0.0000, 0.0000, 0.5000)  6 Ac 3.15
Ge (0.0000, 0.5000, 0.0000)  6 Ac 3.15
Ge (0.5000, 0.0000, 0.0000)  6 Ac 3.15
Os (0.5000, 0.5000, 0.5000)  6 Ac 2.97
I (0.0000, 0.5000, 0.5000)  6 Ac 3.56-3.59
I (0.5000, 0.0000, 0.5000)  6 Ac 3.56-3.59
I (0.5000, 0.5000, 0.0000)  6 Ac 3.56-3.59

Properties
formation energy (no corrections)	-0.747	eV per atom
symmetry	R-3m (166)
uncorrected energy	-4.92	eV per atom
size of the total moment	0.0	μB/f.u.

[8]
A relaxed Ac4GeOsI2 crystal. Source: Alexandria via LeMat-Bulk, functional PBE.

Unit cell a=7.9705 b=4.4799 c=8.7864 alpha=90.00 beta=106.39 gamma=90.00
Last column: nearest neighbours and their distance in Å.
Atoms (fractional coordinates):
Ac (0.2158, 0.0000, 0.1884)  2 Os 3.02, 1 Ge 3.16
Ac (0.2453, 0.5000, 0.8130)  1 Os 2.89, 2 Ge 3.16
Ac (0.7547, 0.5000, 0.1870)  1 Os 2.89, 2 Ge 3.16
Ac (0.7842, 0.0000, 0.8116)  2 Os 3.02, 1 Ge 3.16
Ge (0.5000, 0.0000, 0.0000)  6 Ac 3.16
Os (0.0000, 0.5000, 0.0000)  6 Ac 2.89-3.02
I (0.0000, 0.0000, 0.5000)  6 Ac 3.62-3.66
I (0.5000, 0.5000, 0.5000)  6 Ac 3.76-3.85

Properties
formation energy (no corrections)	-0.809	eV per atom
symmetry	P2/m (10)
uncorrected energy	-5.23	eV per atom
size of the total moment	0.0	μB/f.u.